1.
Compound: BiAuS2
Source: Alexandria via LeMat-Bulk
Functional: GGA-PBE
Structure: optimized geometry

```
data_BiAuS2
_cell_length_a 4.373
_cell_length_b 7.635
_cell_length_c 6.642
_cell_angle_alpha 90.00
_cell_angle_beta 77.58
_cell_angle_gamma 89.99
_symmetry_space_group_name_H-M 'P 1'
_symmetry_Int_Tables_number 1
loop_
_symmetry_equiv_pos_as_xyz
'x,y,z'
loop_
_atom_site_label
_atom_site_type_symbol
_atom_site_fract_x
_atom_site_fract_y
_atom_site_fract_z
S1 S 0.690 0.139 0.771
S2 S 0.183 0.889 0.289
S3 S 0.052 0.639 0.822
S4 S 0.183 0.389 0.289
Au1 Au 0.366 0.386 0.803
Au2 Au 0.366 0.892 0.803
Bi1 Bi 0.813 0.639 0.486
Bi2 Bi 0.761 0.139 0.363
```

Computed properties:
Its space group is Pm (6). For the raw formation energy, the calculation gives -0.180 eV/atom.

2.
Compound: Zn2AgPt
Source: Alexandria via LeMat-Bulk
Functional: GGA-PBE
Structure: optimized geometry

```
data_Zn2AgPt
_cell_length_a 2.851
_cell_length_b 2.851
_cell_length_c 7.608
_cell_angle_alpha 90.00
_cell_angle_beta 90.00
_cell_angle_gamma 90.00
_symmetry_space_group_name_H-M 'P 1'
_symmetry_Int_Tables_number 1
loop_
_symmetry_equiv_pos_as_xyz
'x,y,z'
loop_
_atom_site_label
_atom_site_type_symbol
_atom_site_fract_x
_atom_site_fract_y
_atom_site_fract_z
Zn1 Zn 0.000 0.000 0.983
Zn2 Zn 0.000 0.000 0.517
Pt1 Pt 0.500 0.500 0.750
Ag1 Ag 0.500 0.500 0.250
```

Computed properties:
Its space group is P4/mmm (123). The value obtained for the formation energy is -300 meV/atom.

3.
Compound: RbScPdCl6
Source: Alexandria via LeMat-Bulk
Functional: GGA-PBE
Structure: optimized geometry

```
data_RbScPdCl6
_cell_length_a 6.579
_cell_length_b 6.579
_cell_length_c 7.418
_cell_angle_alpha 90.00
_cell_angle_beta 90.00
_cell_angle_gamma 60.00
_symmetry_space_group_name_H-M 'P 1'
_symmetry_Int_Tables_number 1
loop_
_symmetry_equiv_pos_as_xyz
'x,y,z'
loop_
_atom_site_label
_atom_site_type_symbol
_atom_site_fract_x
_atom_site_fract_y
_atom_site_fract_z
Sc1 Sc 0.333 0.333 0.500
Cl1 Cl 0.627 0.369 0.694
Cl2 Cl 0.005 0.627 0.694
Cl3 Cl 0.369 0.627 0.306
Cl4 Cl 0.005 0.369 0.306
Cl5 Cl 0.368 0.005 0.694
Cl6 Cl 0.627 0.005 0.306
Pd1 Pd 0.667 0.667 0.500
Rb1 Rb 0.000 0.000 0.000
```

Computed properties:
Its space group is P312 (149). For the raw formation energy, the calculation gives -1.497 eV/atom.

4.
Compound: Pm4BiPd2
Source: Alexandria via LeMat-Bulk
Functional: GGA-PBE
Structure: optimized geometry

```
data_Pm4BiPd2
_cell_length_a 8.299
_cell_length_b 8.299
_cell_length_c 8.337
_cell_angle_alpha 108.55
_cell_angle_beta 108.55
_cell_angle_gamma 111.15
_symmetry_space_group_name_H-M 'P 1'
_symmetry_Int_Tables_number 1
loop_
_symmetry_equiv_pos_as_xyz
'x,y,z'
loop_
_atom_site_label
_atom_site_type_symbol
_atom_site_fract_x
_atom_site_fract_y
_atom_site_fract_z
Pm1 Pm 0.912 0.596 0.680
Pm2 Pm 0.338 0.154 0.820
Pm3 Pm 0.846 0.662 0.180
Pm4 Pm 0.915 0.232 0.320
Pm5 Pm 0.482 0.665 0.820
Pm6 Pm 0.768 0.085 0.680
Pm7 Pm 0.404 0.088 0.320
Pm8 Pm 0.335 0.518 0.180
Bi1 Bi 0.000 0.000 0.000
Bi2 Bi 0.250 0.750 0.500
Pd1 Pd 0.625 0.375 0.250
Pd2 Pd 0.125 0.375 0.750
Pd3 Pd 0.625 0.875 0.250
Pd4 Pd 0.625 0.375 0.750
```

Computed properties:
Its space group is Fddd (70). The value obtained for the formation energy is -558 meV/atom.

5.
Compound: CuBSeN2
Source: Alexandria via LeMat-Bulk
Functional: GGA-PBE
Structure: optimized geometry

```
data_CuBSeN2
_cell_length_a 3.464
_cell_length_b 3.464
_cell_length_c 7.873
_cell_angle_alpha 90.00
_cell_angle_beta 90.00
_cell_angle_gamma 90.00
_symmetry_space_group_name_H-M 'P 1'
_symmetry_Int_Tables_number 1
loop_
_symmetry_equiv_pos_as_xyz
'x,y,z'
loop_
_atom_site_label
_atom_site_type_symbol
_atom_site_fract_x
_atom_site_fract_y
_atom_site_fract_z
N1 N 0.500 0.000 0.000
N2 N 0.000 0.500 0.000
Se1 Se 0.000 0.000 0.500
Cu1 Cu 0.000 0.000 0.000
B1 B 0.500 0.500 0.500
```

Computed properties:
Its energy above the most stable polymorph in this dataset is 946 meV/atom. Its space group is P4/mmm (123). For the raw formation energy, the calculation gives 1.992 eV/atom.

6.
Compound: TbNd3Mg2
Source: Alexandria via LeMat-Bulk
Functional: GGA-PBE
Structure: optimized geometry

```
data_TbNd3Mg2
_cell_length_a 3.799
_cell_length_b 3.799
_cell_length_c 12.858
_cell_angle_alpha 90.00
_cell_angle_beta 90.00
_cell_angle_gamma 90.00
_symmetry_space_group_name_H-M 'P 1'
_symmetry_Int_Tables_number 1
loop_
_symmetry_equiv_pos_as_xyz
'x,y,z'
loop_
_atom_site_label
_atom_site_type_symbol
_atom_site_fract_x
_atom_site_fract_y
_atom_site_fract_z
Nd1 Nd 0.000 0.000 0.690
Nd2 Nd 0.000 0.000 0.000
Nd3 Nd 0.000 0.000 0.310
Tb1 Tb 0.500 0.500 0.500
Mg1 Mg 0.500 0.500 0.846
Mg2 Mg 0.500 0.500 0.154
```

Computed properties:
Its space group is P4/mmm (123). The value obtained for the formation energy is -57 meV/atom.

7.
Compound: Na2MgSiPt
Source: Alexandria via LeMat-Bulk
Functional: GGA-PBE
Structure: optimized geometry

```
data_Na2MgSiPt
_cell_length_a 5.456
_cell_length_b 4.499
_cell_length_c 5.456
_cell_angle_alpha 90.00
_cell_angle_beta 90.00
_cell_angle_gamma 90.00
_symmetry_space_group_name_H-M 'P 1'
_symmetry_Int_Tables_number 1
loop_
_symmetry_equiv_pos_as_xyz
'x,y,z'
loop_
_atom_site_label
_atom_site_type_symbol
_atom_site_fract_x
_atom_site_fract_y
_atom_site_fract_z
Si1 Si 0.000 0.000 0.000
Na1 Na 0.000 0.000 0.500
Na2 Na 0.500 0.000 0.000
Mg1 Mg 0.500 0.500 0.500
Pt1 Pt 0.000 0.500 0.000
```

Computed properties:
Its space group is P4/mmm (123). For the raw formation energy, the calculation gives 0.101 eV/atom.

8.
Compound: TbCo4Ag
Source: Alexandria via LeMat-Bulk
Functional: GGA-PBE
Structure: optimized geometry

```
data_TbCo4Ag
_cell_length_a 4.978
_cell_length_b 4.978
_cell_length_c 4.978
_cell_angle_alpha 60.00
_cell_angle_beta 60.00
_cell_angle_gamma 60.00
_symmetry_space_group_name_H-M 'P 1'
_symmetry_Int_Tables_number 1
loop_
_symmetry_equiv_pos_as_xyz
'x,y,z'
loop_
_atom_site_label
_atom_site_type_symbol
_atom_site_fract_x
_atom_site_fract_y
_atom_site_fract_z
Ag1 Ag 0.250 0.250 0.250
Co1 Co 0.625 0.625 0.625
Co2 Co 0.126 0.625 0.625
Co3 Co 0.625 0.126 0.625
Co4 Co 0.625 0.625 0.126
Tb1 Tb 0.000 0.000 0.000
```

Computed properties:
Its space group is F-43m (216). The value obtained for the formation energy is -42 meV/atom.

9.
Compound: YV2Rh
Source: Alexandria via LeMat-Bulk
Functional: GGA-PBE
Structure: optimized geometry

```
data_YV2Rh
_cell_length_a 4.513
_cell_length_b 4.513
_cell_length_c 4.513
_cell_angle_alpha 60.00
_cell_angle_beta 60.00
_cell_angle_gamma 60.00
_symmetry_space_group_name_H-M 'P 1'
_symmetry_Int_Tables_number 1
loop_
_symmetry_equiv_pos_as_xyz
'x,y,z'
loop_
_atom_site_label
_atom_site_type_symbol
_atom_site_fract_x
_atom_site_fract_y
_atom_site_fract_z
V1 V 0.250 0.250 0.250
V2 V 0.750 0.750 0.750
Rh1 Rh 0.500 0.500 0.500
Y1 Y 0.000 0.000 0.000
```

Computed properties:
Its energy above the most stable polymorph in this dataset is 0 meV/atom. Its space group is Fm-3m (225). The value obtained for the formation energy is 212 meV/atom.

10.
Compound: La2TlIn4
Source: Alexandria via LeMat-Bulk
Functional: GGA-PBE
Structure: optimized geometry

```
data_La2TlIn4
_cell_length_a 10.970
_cell_length_b 6.287
_cell_length_c 6.822
_cell_angle_alpha 117.44
_cell_angle_beta 90.00
_cell_angle_gamma 90.00
_symmetry_space_group_name_H-M 'P 1'
_symmetry_Int_Tables_number 1
loop_
_symmetry_equiv_pos_as_xyz
'x,y,z'
loop_
_atom_site_label
_atom_site_type_symbol
_atom_site_fract_x
_atom_site_fract_y
_atom_site_fract_z
In1 In 0.750 0.750 0.000
In2 In 0.750 0.001 0.500
In3 In 0.250 0.999 0.500
In4 In 0.250 0.250 0.000
In5 In 0.250 0.499 0.500
In6 In 0.250 0.750 0.000
In7 In 0.750 0.250 0.000
In8 In 0.750 0.501 0.500
La1 La 0.500 0.133 0.266
La2 La 0.500 0.867 0.734
La3 La 0.000 0.633 0.266
La4 La 0.000 0.367 0.734
Tl1 Tl 0.500 0.500 0.000
Tl2 Tl 0.000 0.000 0.000
```

Computed properties:
Its energy above the most stable polymorph in this dataset is 0 meV/atom. Its space group is Fmmm (69). The value obtained for the formation energy is -222 meV/atom.

11.
Compound: TiTl3Te6Pb2
Source: Alexandria via LeMat-Bulk
Functional: GGA-PBE
Structure: optimized geometry

```
data_TiTl3Te6Pb2
_cell_length_a 7.834
_cell_length_b 7.834
_cell_length_c 8.039
_cell_angle_alpha 99.69
_cell_angle_beta 99.69
_cell_angle_gamma 119.76
_symmetry_space_group_name_H-M 'P 1'
_symmetry_Int_Tables_number 1
loop_
_symmetry_equiv_pos_as_xyz
'x,y,z'
loop_
_atom_site_label
_atom_site_type_symbol
_atom_site_fract_x
_atom_site_fract_y
_atom_site_fract_z
Te1 Te 0.783 0.783 0.223
Te2 Te 0.367 0.072 0.212
Te3 Te 0.072 0.367 0.212
Te4 Te 0.928 0.633 0.788
Te5 Te 0.633 0.928 0.788
Te6 Te 0.217 0.217 0.777
Tl1 Tl 0.177 0.823 0.500
Tl2 Tl 0.823 0.177 0.500
Tl3 Tl 0.500 0.500 0.500
Ti1 Ti 0.000 0.000 0.000
Pb1 Pb 0.663 0.337 0.000
Pb2 Pb 0.337 0.663 0.000
```

Computed properties:
Its space group is C2/m (12). For the raw formation energy, the calculation gives -0.411 eV/atom.

12.
Compound: PrHo2Bi
Source: Alexandria via LeMat-Bulk
Functional: GGA-PBE
Structure: optimized geometry

```
data_PrHo2Bi
_cell_length_a 5.518
_cell_length_b 5.518
_cell_length_c 5.518
_cell_angle_alpha 60.00
_cell_angle_beta 60.00
_cell_angle_gamma 60.00
_symmetry_space_group_name_H-M 'P 1'
_symmetry_Int_Tables_number 1
loop_
_symmetry_equiv_pos_as_xyz
'x,y,z'
loop_
_atom_site_label
_atom_site_type_symbol
_atom_site_fract_x
_atom_site_fract_y
_atom_site_fract_z
Ho1 Ho 0.750 0.750 0.750
Ho2 Ho 0.250 0.250 0.250
Bi1 Bi 0.000 0.000 0.000
Pr1 Pr 0.500 0.500 0.500
```

Computed properties:
Its energy above the most stable polymorph in this dataset is 260 meV/atom. Its space group is Fm-3m (225). The value obtained for the formation energy is -141 meV/atom.

13.
Compound: TiAlP2Cl
Source: Alexandria via LeMat-Bulk
Functional: GGA-PBE
Structure: optimized geometry

```
data_TiAlP2Cl
_cell_length_a 4.737
_cell_length_b 4.737
_cell_length_c 4.871
_cell_angle_alpha 90.00
_cell_angle_beta 90.00
_cell_angle_gamma 90.00
_symmetry_space_group_name_H-M 'P 1'
_symmetry_Int_Tables_number 1
loop_
_symmetry_equiv_pos_as_xyz
'x,y,z'
loop_
_atom_site_label
_atom_site_type_symbol
_atom_site_fract_x
_atom_site_fract_y
_atom_site_fract_z
P1 P 0.000 0.500 0.000
P2 P 0.500 0.000 0.000
Cl1 Cl 0.000 0.000 0.500
Al1 Al 0.500 0.500 0.500
Ti1 Ti 0.000 0.000 0.000
```

Computed properties:
Its energy above the most stable polymorph in this dataset is 0 meV/atom. Its space group is P4/mmm (123). For the raw formation energy, the calculation gives -0.044 eV/atom.

Taking the records one at a time from the top gives volume values of 217; 62; 278; 443; 94; 186; 134; 87; 65; 418; 404; 119; 109 Å³ per cell.